1.
# BaZnH2Au GGA-PBEsol optimized geometry
# V (Å³/f.u.): 124
# Electronic total energy (eV for the cell shown): -11.805
data_BaZnH2Au
_chemical_formula_sum 'Ba1 Zn1 H2 Au1'
_space_group_name_H-M_alt 'P 4/m m m'
_space_group_IT_number 123
_space_group_name_Hall '-P 4 2'
_cell_length_a 4.444
_cell_length_b 4.444
_cell_length_c 6.270
_cell_angle_alpha 90.00
_cell_angle_beta 90.00
_cell_angle_gamma 90.00
loop_
_atom_site_label
_atom_site_type_symbol
_atom_site_fract_x
_atom_site_fract_y
_atom_site_fract_z
Ba1 Ba 0.000 0.000 0.000
Zn1 Zn 0.500 0.500 0.500
H1 H 0.000 0.500 0.000
Au1 Au 0.000 0.000 0.500



2.
# BaHg2Au GGA-PBEsol optimized geometry
# V (Å³/f.u.): 104
# DFT formation energy (eV/atom): -0.35
data_BaHg2Au
_chemical_formula_sum 'Ba1 Hg2 Au1'
_space_group_name_H-M_alt 'P 4/m m m'
_space_group_IT_number 123
_space_group_name_Hall '-P 4 2'
_cell_length_a 3.812
_cell_length_b 3.812
_cell_length_c 7.138
_cell_angle_alpha 90.00
_cell_angle_beta 90.00
_cell_angle_gamma 90.00
loop_
_atom_site_label
_atom_site_type_symbol
_atom_site_fract_x
_atom_site_fract_y
_atom_site_fract_z
Ba1 Ba 0.000 0.000 0.000
Hg1 Hg 0.500 0.500 0.297
Au1 Au 0.000 0.000 0.500



3.
# BaHgAu4 GGA-PBEsol optimized geometry
# V (Å³/f.u.): 128
# DFT formation energy (eV/atom): -0.36
data_BaHgAu4
_chemical_formula_sum 'Ba4 Hg4 Au16'
_space_group_name_H-M_alt 'F -4 3 m'
_space_group_IT_number 216
_space_group_name_Hall 'F -4 2 3'
_cell_length_a 8.005
_cell_length_b 8.005
_cell_length_c 8.005
_cell_angle_alpha 90.00
_cell_angle_beta 90.00
_cell_angle_gamma 90.00
loop_
_atom_site_label
_atom_site_type_symbol
_atom_site_fract_x
_atom_site_fract_y
_atom_site_fract_z
Ba1 Ba 0.000 0.000 0.000
Hg1 Hg 0.250 0.250 0.250
Au1 Au 0.124 0.124 0.624



4.
# BaHg2Au GGA-PBEsol optimized geometry
# V (Å³/f.u.): 107
# DFT formation energy (eV/atom): -0.39
data_BaHg2Au
_chemical_formula_sum 'Ba2 Hg4 Au2'
_space_group_name_H-M_alt 'I -4 m 2'
_space_group_IT_number 119
_space_group_name_Hall 'I -4 -2'
_cell_length_a 5.109
_cell_length_b 5.109
_cell_length_c 8.200
_cell_angle_alpha 90.00
_cell_angle_beta 90.00
_cell_angle_gamma 90.00
loop_
_atom_site_label
_atom_site_type_symbol
_atom_site_fract_x
_atom_site_fract_y
_atom_site_fract_z
Ba1 Ba 0.000 0.000 0.000
Hg1 Hg 0.000 0.000 0.500
Hg2 Hg 0.000 0.500 0.250
Au1 Au 0.000 0.500 0.750



5.
# BaHg2Au GGA-PBEsol optimized geometry
# V (Å³/f.u.): 105
# DFT formation energy (eV/atom): -0.36
data_BaHg2Au
_chemical_formula_sum 'Ba4 Hg8 Au4'
_space_group_name_H-M_alt 'F m -3 m'
_space_group_IT_number 225
_space_group_name_Hall '-F 4 2 3'
_cell_length_a 7.479
_cell_length_b 7.479
_cell_length_c 7.479
_cell_angle_alpha 90.00
_cell_angle_beta 90.00
_cell_angle_gamma 90.00
loop_
_atom_site_label
_atom_site_type_symbol
_atom_site_fract_x
_atom_site_fract_y
_atom_site_fract_z
Ba1 Ba 0.000 0.000 0.000
Hg1 Hg 0.250 0.250 0.250
Au1 Au 0.000 0.000 0.500



6.
# BaHg2Au GGA-PBEsol optimized geometry
# V (Å³/f.u.): 107
# DFT formation energy (eV/atom): -0.39
data_BaHg2Au
_chemical_formula_sum 'Ba2 Hg4 Au2'
_space_group_name_H-M_alt 'I 4/m m m'
_space_group_IT_number 139
_space_group_name_Hall '-I 4 2'
_cell_length_a 4.716
_cell_length_b 4.716
_cell_length_c 9.624
_cell_angle_alpha 90.00
_cell_angle_beta 90.00
_cell_angle_gamma 90.00
loop_
_atom_site_label
_atom_site_type_symbol
_atom_site_fract_x
_atom_site_fract_y
_atom_site_fract_z
Ba1 Ba 0.000 0.000 0.000
Hg1 Hg 0.000 0.500 0.250
Au1 Au 0.000 0.000 0.500



7.
# BaHgAu GGA-PBEsol optimized geometry
# V (Å³/f.u.): 96
# DFT formation energy (eV/atom): -0.47
data_BaHgAu
_chemical_formula_sum 'Ba4 Hg4 Au4'
_space_group_name_H-M_alt 'F -4 3 m'
_space_group_IT_number 216
_space_group_name_Hall 'F -4 2 3'
_cell_length_a 7.272
_cell_length_b 7.272
_cell_length_c 7.272
_cell_angle_alpha 90.00
_cell_angle_beta 90.00
_cell_angle_gamma 90.00
loop_
_atom_site_label
_atom_site_type_symbol
_atom_site_fract_x
_atom_site_fract_y
_atom_site_fract_z
Ba1 Ba 0.000 0.000 0.000
Hg1 Hg 0.000 0.000 0.500
Au1 Au 0.250 0.250 0.250



8.
# BaHg2Au GGA-PBEsol optimized geometry
# V (Å³/f.u.): 111
# DFT formation energy (eV/atom): -0.45
data_BaHg2Au
_chemical_formula_sum 'Ba3 Hg6 Au3'
_space_group_name_H-M_alt 'R 3 m'
_space_group_IT_number 160
_space_group_name_Hall 'R 3 -2"'
_cell_length_a 4.9222
_cell_length_b 4.9222
_cell_length_c 15.9385
_cell_angle_alpha 90.00
_cell_angle_beta 90.00
_cell_angle_gamma 120.00
loop_
_atom_site_label
_atom_site_type_symbol
_atom_site_fract_x
_atom_site_fract_y
_atom_site_fract_z
Ba1 Ba 0.0000 0.0000 0.0000
Hg1 Hg 0.0000 0.0000 0.2120
Hg2 Hg 0.0000 0.0000 0.4620
Au1 Au 0.0000 0.0000 0.7910